1.
An optimized crystal structure of Ti2HPdRh, computed with GGA-PBE.

E_tot: -34.2 eV per cell
energy relative to the lowest polymorph listed for this composition: 21 meV per atom
total magnetization: 0.69 μB/f.u.

abc: 4.051 4.051 3.842
angles: 90.00 90.00 90.00
Atoms (fractional coordinates):
Ti1 0.000 0.500 0.000
Ti2 0.500 0.000 0.000
H1 0.000 0.000 0.000
Pd1 0.000 0.000 0.500
Rh1 0.500 0.500 0.500

---

2.
An optimized crystal structure of TlHPd2Rh, computed with GGA-PBE.

E_tot: -24.1 eV per cell
total magnetization: 0.00 μB/f.u.

abc: 4.090 4.090 4.110
angles: 90.00 90.00 90.00
Atoms (fractional coordinates):
Tl1 0.000 0.000 0.000
H1 0.500 0.500 0.500
Pd1 0.000 0.500 0.500
Pd2 0.500 0.000 0.500
Rh1 0.500 0.500 0.000

---

3.
An optimized crystal structure of Tl2H6PdRh, computed with GGA-PBE.

E_tot: -36.2 eV per cell
total magnetization: 0.00 μB/f.u.

abc: 5.619 5.619 5.619
angles: 125.81 125.81 80.19
Atoms (fractional coordinates):
Tl1 0.000 0.500 0.500
Tl2 0.500 0.000 0.500
H1 0.027 0.027 0.000
H2 0.512 0.512 0.513
H3 0.512 0.999 0.000
H4 0.595 0.595 0.000
H5 0.999 0.512 0.000
H6 0.999 0.999 0.487
Pd1 0.239 0.239 0.000
Rh1 0.782 0.782 0.000